A relaxed structure of Si3BiCl. Source: Alexandria via LeMat-Bulk, functional PBE-GGA.

Values from the calculation:
Space-group type: Pm-3m
Raw formation energy: 1.41 eV per atom
Offset from the most stable computed form: 0.396 eV per atom
Total energy: -2.99 eV per atom
Total magnetization: 0.000 μB/atom

```
5
Lattice="5.532 0.000 0.000 0.000 5.532 0.000 0.000 0.000 5.532" Properties=species:S:1:pos:R:3 pbc="T T T"
Si 0.000 0.000 2.766
Si 0.000 2.766 0.000
Si 2.766 0.000 0.000
Bi 0.000 0.000 0.000
Cl 2.766 2.766 2.766
```